Crystalline NbAl3 at its relaxed geometry. Source: Alexandria, functional PBEsol.

Cell and atoms, written as CIF:
```
data_NbAl3
_chemical_formula_sum 'Nb2 Al6'
_cell_length_a 3.8240
_cell_length_b 3.8240
_cell_length_c 8.5716
_cell_angle_alpha 90.00
_cell_angle_beta 90.00
_cell_angle_gamma 90.00
_symmetry_space_group_name_H-M 'I 4/m m m'
_symmetry_Int_Tables_number 139
_symmetry_space_group_name_Hall '-I 4 2'
loop_
_atom_site_label
_atom_site_type_symbol
_atom_site_fract_x
_atom_site_fract_y
_atom_site_fract_z
Nb1 Nb 0.0000 0.0000 0.0000
Al1 Al 0.0000 0.0000 0.5000
Al2 Al 0.0000 0.5000 0.2500
```

Raw total energy, eV/atom: -6.2072
Crystal system: tetragonal
Calculated formation energy, meV/atom: -433
Density, g/cm3: 4.61


Crystalline KRb2CuF6 at its relaxed geometry. Source: Alexandria, functional PBEsol.

Cell and atoms, written as CIF:
```
data_KRb2CuF6
_chemical_formula_sum 'K4 Rb8 Cu4 F24'
_cell_length_a 8.7333
_cell_length_b 8.7333
_cell_length_c 8.7333
_cell_angle_alpha 90.00
_cell_angle_beta 90.00
_cell_angle_gamma 90.00
_symmetry_space_group_name_H-M 'F m -3 m'
_symmetry_Int_Tables_number 225
_symmetry_space_group_name_Hall '-F 4 2 3'
loop_
_atom_site_label
_atom_site_type_symbol
_atom_site_fract_x
_atom_site_fract_y
_atom_site_fract_z
K1 K 0.0000 0.0000 0.0000
Rb1 Rb 0.2500 0.2500 0.2500
Cu1 Cu 0.0000 0.0000 0.5000
F1 F 0.0000 0.0000 0.2823
```

Raw total energy, eV/atom: -4.2161
Crystal system: cubic
Raw formation energy, meV/atom: -2308
Density, g/cm3: 3.86


Crystalline Y2Ga3Ni at its relaxed geometry. Source: Alexandria, functional PBEsol.

Cell and atoms, written as CIF:
```
data_Y2Ga3Ni
_chemical_formula_sum 'Y2 Ga3 Ni1'
_cell_length_a 4.2324
_cell_length_b 4.2324
_cell_length_c 7.3445
_cell_angle_alpha 90.00
_cell_angle_beta 90.00
_cell_angle_gamma 120.00
_symmetry_space_group_name_H-M 'P 3 m 1'
_symmetry_Int_Tables_number 156
loop_
_symmetry_equiv_pos_as_xyz
'x,y,z'
'-y,x-y,z'
'-x+y,-x,z'
'-y,-x,z'
'-x+y,y,z'
'x,x-y,z'
loop_
_atom_site_label
_atom_site_type_symbol
_atom_site_fract_x
_atom_site_fract_y
_atom_site_fract_z
Y1 Y 0.0000 0.0000 0.0000
Y2 Y 0.0000 0.0000 0.4638
Ga1 Ga 0.3333 0.6667 0.6890
Ga2 Ga 0.6667 0.3333 0.2238
Ga3 Ga 0.6667 0.3333 0.7725
Ni1 Ni 0.3333 0.6667 0.2631
```

Raw total energy, eV/atom: -5.6468
Crystal system: trigonal
Calculated formation energy, meV/atom: -677
Density, g/cm3: 6.50


Crystalline MnCoPCl2 at its relaxed geometry. Source: Alexandria, functional PBEsol.

Cell and atoms, written as CIF:
```
data_MnCoPCl2
_chemical_formula_sum 'Mn1 Co1 P1 Cl2'
_cell_length_a 4.4364
_cell_length_b 4.4364
_cell_length_c 4.8726
_cell_angle_alpha 90.00
_cell_angle_beta 90.00
_cell_angle_gamma 90.00
_symmetry_space_group_name_H-M 'P 4/m m m'
_symmetry_Int_Tables_number 123
_symmetry_space_group_name_Hall '-P 4 2'
loop_
_atom_site_label
_atom_site_type_symbol
_atom_site_fract_x
_atom_site_fract_y
_atom_site_fract_z
Mn1 Mn 0.0000 0.0000 0.0000
Co1 Co 0.5000 0.5000 0.5000
P1 P 0.0000 0.0000 0.5000
Cl1 Cl 0.0000 0.5000 0.0000
```

Raw total energy, eV/atom: -4.8620
Crystal system: tetragonal
Raw formation energy, meV/atom: 599
Density, g/cm3: 3.74


> The lowest raw total energy belongs to which entry?

NbAl3


Repeat the fourth record exactly.
Crystalline MnCoPCl2 at its relaxed geometry. Source: Alexandria, functional PBEsol.

Cell and atoms, written as CIF:
```
data_MnCoPCl2
_chemical_formula_sum 'Mn1 Co1 P1 Cl2'
_cell_length_a 4.4364
_cell_length_b 4.4364
_cell_length_c 4.8726
_cell_angle_alpha 90.00
_cell_angle_beta 90.00
_cell_angle_gamma 90.00
_symmetry_space_group_name_H-M 'P 4/m m m'
_symmetry_Int_Tables_number 123
_symmetry_space_group_name_Hall '-P 4 2'
loop_
_atom_site_label
_atom_site_type_symbol
_atom_site_fract_x
_atom_site_fract_y
_atom_site_fract_z
Mn1 Mn 0.0000 0.0000 0.0000
Co1 Co 0.5000 0.5000 0.5000
P1 P 0.0000 0.0000 0.5000
Cl1 Cl 0.0000 0.5000 0.0000
```

Raw total energy, eV/atom: -4.8620
Crystal system: tetragonal
Raw formation energy, meV/atom: 599
Density, g/cm3: 3.74


> Look up the density of the second one.

3.86 g/cm3